[1]
Density functional theory data (PBE) for a relaxed Cr2MoW crystal.

Summary:
V (Å³ per atom): 13.95
SG: P4mm (99)
Energy relative to the elements (eV/f.u.): 0.3

Unit cell a=3.0349 b=3.0349 c=6.0584 alpha=90.00 beta=90.00 gamma=90.00
Atoms (fractional coordinates):
Cr: 0.0000 0.0000 0.0000
Cr: 0.5000 0.5000 0.2350
Mo: 0.0000 0.0000 0.4780
W: 0.5000 0.5000 0.7555

[2]
Density functional theory data (PBE) for a relaxed Na2Li2Ag crystal.

Summary:
V (Å³ per atom): 25.87
SG: I4/mmm (139)
Energy relative to the elements (eV/f.u.): 0.6

Unit cell a=9.5647 b=9.5647 c=9.5647 alpha=157.38 beta=157.38 gamma=32.21
Atoms (fractional coordinates):
Na: 0.0948 0.0948 0.0000
Na: 0.9052 0.9052 0.0000
Li: 0.2500 0.7500 0.5000
Li: 0.7500 0.2500 0.5000
Ag: 0.5000 0.5000 0.0000

[3]
Density functional theory data (PBE) for a relaxed PuThPa2 crystal.

Summary:
V (Å³ per atom): 26.20
SG: Fm-3m (225)
Energy relative to the elements (eV/f.u.): 1.1

Unit cell a=5.2918 b=5.2918 c=5.2918 alpha=60.00 beta=60.00 gamma=60.00
Atoms (fractional coordinates):
Pu: 0.0000 0.0000 0.0000
Th: 0.5000 0.5000 0.5000
Pa: 0.2500 0.2500 0.2500
Pa: 0.7500 0.7500 0.7500